(1)
# SrZrPa2S8 GGA-PBE relaxed
data_SrZrPa2S8
_cell_length_a 6.3854
_cell_length_b 6.0993
_cell_length_c 8.3080
_cell_angle_alpha 90.00
_cell_angle_beta 90.00
_cell_angle_gamma 88.60
_space_group_name_H-M_alt 'P 1'
_space_group_IT_number 1
_space_group_name_Hall 'P 1'
loop_
_atom_site_label
_atom_site_fract_x
_atom_site_fract_y
_atom_site_fract_z
Sr1 0.0000 0.0000 0.5000
Zr1 0.0000 0.0000 0.0000
Pa1 0.5000 0.5000 0.7529
Pa2 0.5000 0.5000 0.2471
S1 0.1731 0.7655 0.2179
S2 0.6715 0.7241 0.0000
S3 0.8269 0.2345 0.2179
S4 0.8269 0.2345 0.7821
S5 0.3285 0.2759 0.0000
S6 0.1731 0.7655 0.7821
S7 0.6365 0.7170 0.5000
S8 0.3635 0.2830 0.5000
# energy relative to the elements, uncorrected	-149.25	kJ/mol of atoms

---

(2)
# Cd2Sb2S GGA-PBE relaxed
data_Cd2Sb2S
_cell_length_a 7.7154
_cell_length_b 7.7154
_cell_length_c 4.4675
_cell_angle_alpha 90.00
_cell_angle_beta 90.00
_cell_angle_gamma 90.00
_space_group_name_H-M_alt 'P 1'
_space_group_IT_number 1
_space_group_name_Hall 'P 1'
loop_
_atom_site_label
_atom_site_fract_x
_atom_site_fract_y
_atom_site_fract_z
Sb1 0.3023 0.8023 0.0000
Sb2 0.8023 0.6977 0.0000
Sb3 0.6977 0.1977 0.0000
Sb4 0.1977 0.3023 0.0000
S1 0.0000 0.0000 0.0000
S2 0.5000 0.5000 0.0000
Cd1 0.1309 0.6309 0.5000
Cd2 0.6309 0.8691 0.5000
Cd3 0.8691 0.3691 0.5000
Cd4 0.3691 0.1309 0.5000
# energy relative to the elements, uncorrected	11.25	kJ/mol of atoms